# KLiCrN3

An optimized crystal structure of KLiCrN3 (PBE-GGA, Alexandria).

Unit cell a=5.185 b=5.705 c=6.158 alpha=57.89 beta=90.18 gamma=90.25
Element x y z (fractional)
N 0.750 0.213 0.566
N 0.489 0.784 0.987
N 0.511 0.216 0.013
N 0.987 0.215 0.014
N 0.013 0.785 0.986
N 0.250 0.787 0.434
Cr 0.751 0.027 0.882
Cr 0.249 0.973 0.118
K 0.250 0.273 0.461
K 0.750 0.727 0.539
Li 0.250 0.569 0.861
Li 0.750 0.431 0.139

## Properties
Volume ... 77 Å³/f.u.
Formation energy (no corrections) ... -0.16 eV per atom
Magnetic moment ... 0.9 μB per cell